No. 1
VASP calculation (PBE) on a geometry-optimized NaLiLa3 structure.

## Properties
The calculation puts the formation enthalpy at 0 K at 11.03 kcal/mol of atoms. The value obtained for the calculated volume is 37.05 Å³/atom. For the energy above the most stable polymorph in this dataset, the calculation gives 0.0 meV/atom. The total energy comes out at -0.2297 Ry per atom. As for the symmetry: Pm-3m, No. 221.

```
NaLiLa3
1.0
5.701 0.000 0.000
0.000 5.701 0.000
0.000 0.000 5.701
Na Li La
1 1 3
direct
0.000 0.000 0.000
0.500 0.500 0.500
0.000 0.500 0.500
0.500 0.000 0.500
0.500 0.500 0.000
```

No. 2
VASP calculation (PBE) on a geometry-optimized CoCu3Si structure.

## Properties
The value obtained for the calculated volume is 16.79 Å³/atom. For the energy above the most stable polymorph in this dataset, the calculation gives 294.0 meV/atom. The total energy comes out at -0.2838 Ry per atom. As for the symmetry: Pm-3m, No. 221.

```
CoCu3Si
1.0
4.378 0.000 0.000
0.000 4.378 0.000
0.000 0.000 4.378
Co Cu Si
1 3 1
direct
0.000 0.000 0.000
0.000 0.000 0.500
0.000 0.500 0.000
0.500 0.000 0.000
0.500 0.500 0.500
```

No. 3
VASP calculation (PBE) on a geometry-optimized Ga2Cu4Au3 structure.

## Properties
The calculation puts the formation enthalpy at 0 K at -2.02 kcal/mol of atoms. The value obtained for the calculated volume is 15.03 Å³/atom. For the energy above the most stable polymorph in this dataset, the calculation gives 0.0 meV/atom. The total energy comes out at -0.2700 Ry per atom. As for the symmetry: P-1, No. 2.

```
Ga2Cu4Au3
1.0
3.541 0.000 0.000
-1.747 6.038 0.000
-0.013 -2.335 6.326
Ga Cu Au
2 4 3
direct
0.230 0.460 0.291
0.770 0.540 0.709
0.108 0.216 0.692
0.329 0.658 0.007
0.671 0.342 0.993
0.892 0.784 0.308
0.000 0.000 0.000
0.423 0.846 0.633
0.577 0.154 0.367
```

No. 4
VASP calculation (PBE) on a geometry-optimized CaPuCuO5 structure.

## Properties
The value obtained for the calculated volume is 14.57 Å³/atom. The total energy comes out at -0.5767 Ry per atom. As for the symmetry: C2/c, No. 15.

```
CaPuCuO5
1.0
3.614 -4.562 0.000
3.614 4.562 0.000
-3.288 0.000 7.069
Ca Pu Cu O
2 2 2 10
direct
0.072 0.928 0.750
0.928 0.072 0.250
0.000 0.500 0.000
0.500 0.000 0.500
0.466 0.534 0.750
0.534 0.466 0.250
0.181 0.819 0.250
0.202 0.270 0.078
0.230 0.642 0.888
0.270 0.202 0.578
0.358 0.770 0.612
0.642 0.230 0.388
0.730 0.798 0.422
0.770 0.358 0.112
0.798 0.730 0.922
0.819 0.181 0.750
```

No. 5
VASP calculation (PBE) on a geometry-optimized CaTaSCl2 structure.

## Properties
The value obtained for the calculated volume is 23.19 Å³/atom. For the energy above the most stable polymorph in this dataset, the calculation gives 0.0 meV/atom. The total energy comes out at -0.3773 Ry per atom. As for the symmetry: P4/mmm, No. 123.

```
CaTaSCl2
1.0
4.920 0.000 0.000
0.000 4.920 0.000
0.000 0.000 4.790
Ca Ta S Cl
1 1 1 2
direct
0.000 0.000 0.000
0.500 0.500 0.500
0.500 0.500 0.000
0.000 0.500 0.500
0.500 0.000 0.500
```

No. 6
VASP calculation (PBE) on a geometry-optimized ScInCl4 structure.

## Properties
The value obtained for the calculated volume is 24.72 Å³/atom. For the energy above the most stable polymorph in this dataset, the calculation gives 1599.8 meV/atom. The total energy comes out at -0.2064 Ry per atom. As for the symmetry: F-43m, No. 216.

```
ScInCl4
1.0
0.000 4.201 4.201
4.201 0.000 4.201
4.201 4.201 0.000
Sc In Cl
1 1 4
direct
0.000 0.000 0.000
0.250 0.250 0.250
0.123 0.626 0.626
0.626 0.123 0.626
0.626 0.626 0.123
0.626 0.626 0.626
```

No. 7
VASP calculation (PBE) on a geometry-optimized V2NiGeN structure.

## Properties
The value obtained for the calculated volume is 11.74 Å³/atom. The total energy comes out at -0.5774 Ry per atom. As for the symmetry: P4/mmm, No. 123.

```
V2NiGeN
1.0
3.916 0.000 0.000
0.000 3.916 0.000
0.000 0.000 3.828
V Ni Ge N
2 1 1 1
direct
0.000 0.500 0.000
0.500 0.000 0.000
0.000 0.000 0.500
0.500 0.500 0.500
0.000 0.000 0.000
```

No. 8
VASP calculation (PBE) on a geometry-optimized Ca2ScTl structure.

## Properties
The calculation puts the formation enthalpy at 0 K at -0.98 kcal/mol of atoms. The value obtained for the calculated volume is 29.17 Å³/atom. For the energy above the most stable polymorph in this dataset, the calculation gives 73.6 meV/atom. The total energy comes out at -0.2365 Ry per atom. As for the symmetry: I-4m2, No. 119.

```
Ca2ScTl
1.0
-2.508 2.508 4.639
2.508 -2.508 4.639
2.508 2.508 -4.639
Ca Sc Tl
2 1 1
direct
0.000 0.000 0.000
0.750 0.250 0.500
0.250 0.750 0.500
0.500 0.500 0.000
```